Compound: Y2GeBi2
Source: Alexandria
Functional: GGA-PBE
Structure: optimized geometry

It has space group P4/mbm (No. 127), with a = 8.300 Å, b = 8.300 Å, c = 4.223 Å, α = 90.00°, β = 90.00° and γ = 90.00°. The inequivalent atoms are Y at (0.153, 0.347, 0.000), Ge at (0.000, 0.000, 0.500) and Bi at (0.152, 0.652, 0.500).

As for the uncorrected energy: -5.51 eV per atom. The density of states at the Fermi level is 0.583 states/eV per atom.

---

Compound: YZn2GeBi
Source: Alexandria
Functional: GGA-PBE
Structure: optimized geometry

It has space group P4/mmm (No. 123), with a = 4.746 Å, b = 4.746 Å, c = 5.698 Å, α = 90.00°, β = 90.00° and γ = 90.00°. The inequivalent atoms are Y at (0.000, 0.000, 0.000), Zn at (0.000, 0.500, 0.500), Ge at (0.000, 0.000, 0.500) and Bi at (0.500, 0.500, 0.000).

As for the uncorrected energy: -3.57 eV per atom. The density of states at the Fermi level is 0.300 states/eV per atom.

---

Compound: Zn2GeBi
Source: Alexandria
Functional: GGA-PBE
Structure: optimized geometry

It has space group R-3m (No. 166, hexagonal axes), with a = 4.1007 Å, b = 4.1007 Å, c = 17.8036 Å, α = 90.00°, β = 90.00° and γ = 120.00°. The inequivalent atoms are Zn at (0.0000, 0.0000, 0.2308), Ge at (0.0000, 0.0000, 0.5000) and Bi at (0.0000, 0.0000, 0.0000).

As for the uncorrected energy: -2.56 eV per atom. The density of states at the Fermi level is 0.415 states/eV per atom.

---

Compound: ZnGe2Bi
Source: Alexandria
Functional: GGA-PBE
Structure: optimized geometry

It has space group Fm-3m (No. 225), with a = 7.118 Å, b = 7.118 Å, c = 7.118 Å, α = 90.00°, β = 90.00° and γ = 90.00°. The inequivalent atoms are Zn at (0.000, 0.000, 0.000), Ge at (0.250, 0.250, 0.250) and Bi at (0.000, 0.000, 0.500).

As for the uncorrected energy: -3.26 eV per atom. The density of states at the Fermi level is 0.499 states/eV per atom.

---

Compound: Zn2Ge2Bi
Source: Alexandria
Functional: GGA-PBE
Structure: optimized geometry

It has space group I4/mmm (No. 139), with a = 4.210 Å, b = 4.210 Å, c = 11.710 Å, α = 90.00°, β = 90.00° and γ = 90.00°. The inequivalent atoms are Zn at (0.000, 0.000, 0.106), Ge at (0.000, 0.500, 0.250) and Bi at (0.000, 0.000, 0.500).

As for the uncorrected energy: -2.94 eV per atom. The density of states at the Fermi level is 0.449 states/eV per atom.

---

Compound: Zn2GeBi
Source: Alexandria
Functional: GGA-PBE
Structure: optimized geometry

It has space group Fm-3m (No. 225), with a = 6.988 Å, b = 6.988 Å, c = 6.988 Å, α = 90.00°, β = 90.00° and γ = 90.00°. The inequivalent atoms are Zn at (0.250, 0.250, 0.250), Ge at (0.000, 0.000, 0.000) and Bi at (0.000, 0.000, 0.500).

As for the uncorrected energy: -2.49 eV per atom. The density of states at the Fermi level is 0.453 states/eV per atom.

---

How do the records compare in magnetization? In the order shown, they have 0.0 0.0 0.0 0.0 0.0 0.0 μB/f.u..